{"formula": "RbHf2PdPt", "functional": "GGA-PBE", "state": "relaxed", "lattice_angstrom": [[5.000, 0.000, 0.000], [0.000, 5.751, 0.000], [0.000, 0.000, 5.000]], "species": ["Rb", "Hf", "Hf", "Pd", "Pt"], "fractional_positions": [[0.000, 0.500, 0.000], [0.000, 0.000, 0.500], [0.500, 0.000, 0.000], [0.000, 0.000, 0.000], [0.500, 0.500, 0.500]], "total_energy_ev_per_cell": -27.4, "formation_enthalpy_0k_mev_per_atom": 940.2}